BaAl | GGA-PBE | optimized geometry

Output
- energy relative to the elements (eV per atom) = -0.03
- VASP energy (eV/atom) = -2.862
- total moment (μB per formula unit) = 0.17
- calculated volume (Å³/cell) = 736.6

Lattice parameters (Å, degrees): 12.7352 12.7352 4.5419 90.00 90.00 90.00
Space group I4/mmm (No. 139)
Inequivalent atoms, fractional coordinates:
Ba 0.0000 0.2513 0.0000 x8
Al 0.2157 0.2157 0.5000 x8

BaAl | GGA-PBE | optimized geometry

Output
- energy relative to the elements (eV per atom) = -0.15
- VASP energy (eV/atom) = -2.978
- total moment (μB per formula unit) = 0.00
- calculated volume (Å³/cell) = 571.0

Lattice parameters (Å, degrees): 6.5717 6.6450 13.0752 90.00 90.00 90.00
Space group P2_12_12_1 (No. 19)
Inequivalent atoms, fractional coordinates:
Ba 0.1134 0.0730 0.4779 x4
Ba 0.1330 0.6637 0.6722 x4
Al 0.1162 0.5756 0.3857 x4
Al 0.1236 0.8324 0.2261 x4